# 1
This record from Alexandria via LeMat-Bulk describes a relaxed structure of NaSb2P2. The functional is GGA-PBE.

abc: 6.140 6.140 6.140
angles: 129.94 129.94 73.50
Element x y z (fractional)
Na 0.000 0.000 0.000
Sb 0.335 0.335 0.000
Sb 0.665 0.665 0.000
P 0.250 0.750 0.500
P 0.750 0.250 0.500

## Properties
density = 4.11 g cm⁻³
ΔE to the lowest computed polymorph = 0.00 eV/f.u.
formation energy (no corrections) = 0.060 eV per atom

# 2
This record from Alexandria via LeMat-Bulk describes a relaxed structure of NaPmCuRh. The functional is GGA-PBE.

abc: 4.862 4.862 4.862
angles: 60.00 60.00 60.00
Element x y z (fractional)
Na 0.000 0.000 0.000
Pm 0.500 0.500 0.500
Cu 0.750 0.750 0.750
Rh 0.250 0.250 0.250

## Properties
raw total energy = -4.430 eV per atom
density = 6.83 g cm⁻³

# 3
This record from Alexandria via LeMat-Bulk describes a relaxed structure of LaPm4. The functional is GGA-PBE.

abc: 3.674 3.674 15.122
angles: 97.03 97.03 59.88
Element x y z (fractional)
La 0.000 0.000 0.000
Pm 0.200 0.200 0.599
Pm 0.400 0.400 0.203
Pm 0.600 0.600 0.797
Pm 0.800 0.800 0.401

## Properties
density = 6.83 g cm⁻³
ΔE to the lowest computed polymorph = 0.00 eV/f.u.

# 4
This record from Alexandria via LeMat-Bulk describes a relaxed structure of TiFe2NiH. The functional is GGA-PBE.

abc: 3.684 3.684 3.673
angles: 90.00 90.00 90.00
Element x y z (fractional)
Ti 0.000 0.000 0.000
Fe 0.000 0.500 0.500
Fe 0.500 0.000 0.500
Ni 0.500 0.500 0.000
H 0.500 0.500 0.500

## Properties
density = 7.30 g cm⁻³
ΔE to the lowest computed polymorph = 0.00 eV/f.u.

# 5
This record from Alexandria via LeMat-Bulk describes a relaxed structure of ReAuSe2. The functional is GGA-PBE.

abc: 9.481 9.481 9.481
angles: 18.92 18.92 18.92
Element x y z (fractional)
Re 0.000 0.000 0.000
Au 0.500 0.500 0.500
Se 0.269 0.269 0.269
Se 0.731 0.731 0.731

## Properties
density = 11.47 g cm⁻³
ΔE to the lowest computed polymorph = 0.14 eV/f.u.
formation energy (no corrections) = 0.148 eV per atom

# 6
This record from Alexandria via LeMat-Bulk describes a relaxed structure of TiReTc. The functional is GGA-PBE.

abc: 4.330 4.330 2.767
angles: 90.00 90.00 120.00
Element x y z (fractional)
Ti 0.000 0.000 0.000
Re 0.333 0.667 0.660
Tc 0.667 0.333 0.330

## Properties
density = 12.28 g cm⁻³
ΔE to the lowest computed polymorph = 0.00 eV/f.u.

# 7
This record from Alexandria via LeMat-Bulk describes a relaxed structure of FeCoIr3. The functional is GGA-PBE.

abc: 4.391 4.391 4.391
angles: 90.00 90.00 90.00
Element x y z (fractional)
Fe 0.000 0.000 0.000
Co 0.500 0.500 0.500
Ir 0.000 0.000 0.500
Ir 0.000 0.500 0.000
Ir 0.500 0.000 0.000

## Properties
density = 13.56 g cm⁻³
ΔE to the lowest computed polymorph = 8.69 eV/f.u.

# 8
This record from Alexandria via LeMat-Bulk describes a relaxed structure of CoIr2PdRu. The functional is GGA-PBE.

abc: 4.751 4.751 4.393
angles: 90.00 90.00 90.00
Element x y z (fractional)
Co 0.000 0.000 0.000
Ir 0.000 0.500 0.500
Ir 0.500 0.000 0.500
Pd 0.000 0.000 0.500
Ru 0.500 0.500 0.000

## Properties
raw total energy = -5.693 eV per atom
density = 10.90 g cm⁻³

# 9
This record from Alexandria via LeMat-Bulk describes a relaxed structure of UAsOs. The functional is GGA-PBE.

abc: 6.246 6.246 11.744
angles: 90.00 90.00 120.00
Element x y z (fractional)
U 0.000 0.500 0.377
U 0.000 0.500 0.956
U 0.500 0.000 0.289
U 0.500 0.000 0.711
U 0.500 0.500 0.044
U 0.500 0.500 0.623
As 0.000 0.000 0.167
As 0.000 0.000 0.500
As 0.000 0.000 0.833
As 0.000 0.500 0.667
As 0.500 0.000 0.000
As 0.500 0.500 0.333
Os 0.247 0.624 0.167
Os 0.376 0.624 0.833
Os 0.376 0.753 0.500
Os 0.624 0.247 0.500
Os 0.624 0.376 0.833
Os 0.753 0.376 0.167

## Properties
raw total energy = -8.700 eV per atom
density = 12.64 g cm⁻³

Q: Look up the density of the first one.
A: 4.11 g cm⁻³

Q: Look up the density of the fifth one.
A: 11.47 g cm⁻³

Q: The highest density belongs to which entry?
A: FeCoIr3

Q: What is the formula in the eighth record?
A: CoIr2PdRu